Entry 1:
# PBE Tb6Pr2NdHo3, optimized geometry
data_Tb6Pr2NdHo3
_chemical_formula_sum 'Tb6 Pr2 Nd1 Ho3'
_cell_length_a 6.217
_cell_length_b 6.217
_cell_length_c 11.878
_cell_angle_alpha 94.99
_cell_angle_beta 94.99
_cell_angle_gamma 119.98
_space_group_name_H-M_alt 'P 1'
_space_group_IT_number 1
loop_
_space_group_symop_operation_xyz
'x,y,z'
loop_
_atom_site_label
_atom_site_type_symbol
_atom_site_fract_x
_atom_site_fract_y
_atom_site_fract_z
Tb1 Tb 0.085 0.418 0.755
Tb2 Tb 0.248 0.248 0.245
Tb3 Tb 0.418 0.085 0.755
Tb4 Tb 0.582 0.915 0.245
Tb5 Tb 0.752 0.752 0.755
Tb6 Tb 0.915 0.582 0.245
Pr1 Pr 0.333 0.667 0.500
Pr2 Pr 0.667 0.333 0.500
Nd1 Nd 0.000 0.000 0.500
Ho1 Ho 0.167 0.833 0.000
Ho2 Ho 0.500 0.500 0.000
Ho3 Ho 0.833 0.167 0.000
# Space-group type: No. 12
# DOS at the Fermi energy: 1.313 states/eV per atom
# ΔE_f: 18.1 meV per atom
# Calculated total energy: -0.3407 Ry per atom

=====

Entry 2:
# PBE CaPmMg17, optimized geometry
data_CaPmMg17
_chemical_formula_sum 'Ca1 Pm1 Mg17'
_cell_length_a 7.842
_cell_length_b 7.842
_cell_length_c 7.842
_cell_angle_alpha 82.35
_cell_angle_beta 82.35
_cell_angle_gamma 82.35
_space_group_name_H-M_alt 'P 1'
_space_group_IT_number 1
loop_
_space_group_symop_operation_xyz
'x,y,z'
loop_
_atom_site_label
_atom_site_type_symbol
_atom_site_fract_x
_atom_site_fract_y
_atom_site_fract_z
Ca1 Ca 0.000 0.000 0.000
Pm1 Pm 0.334 0.334 0.334
Mg1 Mg 0.018 0.018 0.506
Mg2 Mg 0.018 0.506 0.018
Mg3 Mg 0.168 0.661 0.661
Mg4 Mg 0.313 0.313 0.824
Mg5 Mg 0.313 0.824 0.313
Mg6 Mg 0.364 0.664 0.966
Mg7 Mg 0.364 0.966 0.664
Mg8 Mg 0.506 0.018 0.018
Mg9 Mg 0.566 0.566 0.566
Mg10 Mg 0.661 0.168 0.661
Mg11 Mg 0.661 0.661 0.168
Mg12 Mg 0.664 0.364 0.966
Mg13 Mg 0.664 0.966 0.364
Mg14 Mg 0.766 0.766 0.766
Mg15 Mg 0.824 0.313 0.313
Mg16 Mg 0.966 0.364 0.664
Mg17 Mg 0.966 0.664 0.364
# Space-group type: No. 160
# DOS at the Fermi energy: 0.461 states/eV per atom
# ΔE_f: -39.6 meV per atom
# Calculated total energy: -0.1339 Ry per atom

=====

Entry 3:
# PBE CaNbAl2, optimized geometry
data_CaNbAl2
_chemical_formula_sum 'Ca1 Nb1 Al2'
_cell_length_a 4.822
_cell_length_b 4.822
_cell_length_c 4.822
_cell_angle_alpha 60.00
_cell_angle_beta 60.00
_cell_angle_gamma 60.00
_space_group_name_H-M_alt 'P 1'
_space_group_IT_number 1
loop_
_space_group_symop_operation_xyz
'x,y,z'
loop_
_atom_site_label
_atom_site_type_symbol
_atom_site_fract_x
_atom_site_fract_y
_atom_site_fract_z
Ca1 Ca 0.000 0.000 0.000
Nb1 Nb 0.500 0.500 0.500
Al1 Al 0.250 0.250 0.250
Al2 Al 0.750 0.750 0.750
# Space-group type: No. 225
# DOS at the Fermi energy: 0.567 states/eV per atom
# ΔE_f: 77.3 meV per atom
# Offset from the most stable computed form: 213 meV per atom
# Calculated total energy: -0.3537 Ry per atom

=====

Entry 4:
# PBE SrSmCdPt, optimized geometry
data_SrSmCdPt
_chemical_formula_sum 'Sr1 Sm1 Cd1 Pt1'
_cell_length_a 5.286
_cell_length_b 5.286
_cell_length_c 5.286
_cell_angle_alpha 60.00
_cell_angle_beta 60.00
_cell_angle_gamma 60.00
_space_group_name_H-M_alt 'P 1'
_space_group_IT_number 1
loop_
_space_group_symop_operation_xyz
'x,y,z'
loop_
_atom_site_label
_atom_site_type_symbol
_atom_site_fract_x
_atom_site_fract_y
_atom_site_fract_z
Sr1 Sr 0.000 0.000 0.000
Sm1 Sm 0.500 0.500 0.500
Cd1 Cd 0.250 0.250 0.250
Pt1 Pt 0.750 0.750 0.750
# Space-group type: No. 216
# DOS at the Fermi energy: 0.682 states/eV per atom
# ΔE_f: -546.5 meV per atom
# Calculated total energy: -0.2856 Ry per atom

=====

Entry 5:
# PBE Nd3Er4, optimized geometry
data_Nd3Er4
_chemical_formula_sum 'Nd3 Er4'
_cell_length_a 17.928
_cell_length_b 17.928
_cell_length_c 17.928
_cell_angle_alpha 168.53
_cell_angle_beta 168.53
_cell_angle_gamma 16.25
_space_group_name_H-M_alt 'P 1'
_space_group_IT_number 1
loop_
_space_group_symop_operation_xyz
'x,y,z'
loop_
_atom_site_label
_atom_site_type_symbol
_atom_site_fract_x
_atom_site_fract_y
_atom_site_fract_z
Nd1 Nd 0.000 0.000 0.000
Nd2 Nd 0.287 0.287 0.000
Nd3 Nd 0.713 0.713 0.000
Er1 Er 0.141 0.141 0.000
Er2 Er 0.428 0.428 0.000
Er3 Er 0.572 0.572 0.000
Er4 Er 0.859 0.859 0.000
# Space-group type: No. 139
# DOS at the Fermi energy: 1.420 states/eV per atom
# ΔE_f: 25.4 meV per atom
# Offset from the most stable computed form: 3 meV per atom
# Calculated total energy: -0.3400 Ry per atom

=====

Entry 6:
# PBE SmSc2Cu, optimized geometry
data_SmSc2Cu
_chemical_formula_sum 'Sm4 Sc8 Cu4'
_cell_length_a 6.413
_cell_length_b 9.637
_cell_length_c 6.082
_cell_angle_alpha 90.00
_cell_angle_beta 90.00
_cell_angle_gamma 90.00
_space_group_name_H-M_alt 'P 1'
_space_group_IT_number 1
loop_
_space_group_symop_operation_xyz
'x,y,z'
loop_
_atom_site_label
_atom_site_type_symbol
_atom_site_fract_x
_atom_site_fract_y
_atom_site_fract_z
Sm1 Sm 0.004 0.250 0.124
Sm2 Sm 0.496 0.750 0.624
Sm3 Sm 0.504 0.250 0.376
Sm4 Sm 0.996 0.750 0.876
Sc1 Sc 0.176 0.549 0.319
Sc2 Sc 0.176 0.951 0.319
Sc3 Sc 0.324 0.049 0.819
Sc4 Sc 0.324 0.451 0.819
Sc5 Sc 0.676 0.549 0.181
Sc6 Sc 0.676 0.951 0.181
Sc7 Sc 0.824 0.049 0.681
Sc8 Sc 0.824 0.451 0.681
Cu1 Cu 0.100 0.250 0.588
Cu2 Cu 0.400 0.750 0.088
Cu3 Cu 0.600 0.250 0.912
Cu4 Cu 0.900 0.750 0.412
# Space-group type: No. 62
# DOS at the Fermi energy: 1.135 states/eV per atom
# ΔE_f: -91.5 meV per atom
# Offset from the most stable computed form: 0 meV per atom
# Calculated total energy: -0.4014 Ry per atom

=====

Entry 7:
# PBE Al2Zn7Ag, optimized geometry
data_Al2Zn7Ag
_chemical_formula_sum 'Al2 Zn7 Ag1'
_cell_length_a 7.571
_cell_length_b 7.571
_cell_length_c 4.206
_cell_angle_alpha 90.00
_cell_angle_beta 90.00
_cell_angle_gamma 125.06
_space_group_name_H-M_alt 'P 1'
_space_group_IT_number 1
loop_
_space_group_symop_operation_xyz
'x,y,z'
loop_
_atom_site_label
_atom_site_type_symbol
_atom_site_fract_x
_atom_site_fract_y
_atom_site_fract_z
Al1 Al 0.200 0.800 0.000
Al2 Al 0.800 0.200 0.000
Zn1 Zn 0.000 0.000 0.000
Zn2 Zn 0.214 0.420 0.000
Zn3 Zn 0.304 0.696 0.500
Zn4 Zn 0.420 0.214 0.000
Zn5 Zn 0.580 0.786 0.000
Zn6 Zn 0.696 0.304 0.500
Zn7 Zn 0.786 0.580 0.000
Ag1 Ag 0.500 0.500 0.500
# Space-group type: No. 65
# DOS at the Fermi energy: 0.290 states/eV per atom
# ΔE_f: 186.4 meV per atom
# Calculated total energy: -0.1278 Ry per atom

=====

Entry 8:
# PBE CrSiOs4, optimized geometry
data_CrSiOs4
_chemical_formula_sum 'Cr1 Si1 Os4'
_cell_length_a 5.124
_cell_length_b 5.124
_cell_length_c 5.124
_cell_angle_alpha 60.00
_cell_angle_beta 60.00
_cell_angle_gamma 60.00
_space_group_name_H-M_alt 'P 1'
_space_group_IT_number 1
loop_
_space_group_symop_operation_xyz
'x,y,z'
loop_
_atom_site_label
_atom_site_type_symbol
_atom_site_fract_x
_atom_site_fract_y
_atom_site_fract_z
Cr1 Cr 0.000 0.000 0.000
Si1 Si 0.250 0.250 0.250
Os1 Os 0.124 0.625 0.625
Os2 Os 0.625 0.124 0.625
Os3 Os 0.625 0.625 0.124
Os4 Os 0.625 0.625 0.625
# Space-group type: No. 216
# DOS at the Fermi energy: 1.138 states/eV per atom
# E_form (uncorrected): 0.85 eV/atom
# Calculated total energy: -0.6719 Ry per atom

=====

Entry 9:
# PBE InBi3Rh, optimized geometry
data_InBi3Rh
_chemical_formula_sum 'In1 Bi3 Rh1'
_cell_length_a 5.372
_cell_length_b 5.372
_cell_length_c 5.372
_cell_angle_alpha 90.00
_cell_angle_beta 90.00
_cell_angle_gamma 90.00
_space_group_name_H-M_alt 'P 1'
_space_group_IT_number 1
loop_
_space_group_symop_operation_xyz
'x,y,z'
loop_
_atom_site_label
_atom_site_type_symbol
_atom_site_fract_x
_atom_site_fract_y
_atom_site_fract_z
In1 In 0.000 0.000 0.000
Bi1 Bi 0.000 0.500 0.500
Bi2 Bi 0.500 0.000 0.500
Bi3 Bi 0.500 0.500 0.000
Rh1 Rh 0.500 0.500 0.500
# Space-group type: No. 221
# DOS at the Fermi energy: 1.418 states/eV per atom
# ΔE_f: 262.0 meV per atom
# Offset from the most stable computed form: 0 meV per atom
# Calculated total energy: -0.3002 Ry per atom

=====

Entry 10:
# PBE Ba3GePd, optimized geometry
data_Ba3GePd
_chemical_formula_sum 'Ba3 Ge1 Pd1'
_cell_length_a 6.008
_cell_length_b 6.008
_cell_length_c 6.008
_cell_angle_alpha 90.00
_cell_angle_beta 90.00
_cell_angle_gamma 90.00
_space_group_name_H-M_alt 'P 1'
_space_group_IT_number 1
loop_
_space_group_symop_operation_xyz
'x,y,z'
loop_
_atom_site_label
_atom_site_type_symbol
_atom_site_fract_x
_atom_site_fract_y
_atom_site_fract_z
Ba1 Ba 0.000 0.000 0.500
Ba2 Ba 0.000 0.500 0.000
Ba3 Ba 0.500 0.000 0.000
Ge1 Ge 0.500 0.500 0.500
Pd1 Pd 0.000 0.000 0.000
# Space-group type: No. 221
# DOS at the Fermi energy: 0.503 states/eV per atom
# ΔE_f: -184.2 meV per atom
# Offset from the most stable computed form: 0 meV per atom
# Calculated total energy: -0.2425 Ry per atom

=====

- Which of these has the lowest calculated total energy?
  CrSiOs4

=====

- What is the DOS at the Fermi energy in the sixth record?
  1.135 states/eV per atom

=====

- Among the records above, which one has the highest calculated total energy?
  Al2Zn7Ag